[1]
This record from Alexandria via LeMat-Bulk describes a relaxed structure of NaUAl4. The functional is PBE-GGA.

Cell: 7.848 7.848 7.848 Å, 90.00 90.00 90.00°
Space group F-43m (No. 216)
Symmetry-distinct sites (fractional):
Na  0.000  0.000  0.000 [4 per cell]
U  0.250  0.250  0.750 [4 per cell]
Al  0.124  0.124  0.376 [16 per cell]

Properties
* density of states at the Fermi level: 1.55 states/eV/atom
* ΔE_f: 0.083 eV per atom
* total moment: 0.466 μB per atom

***

[2]
This record from Alexandria via LeMat-Bulk describes a relaxed structure of Tl3ZnSi. The functional is PBE-GGA.

Cell: 5.307 5.307 5.307 Å, 90.00 90.00 90.00°
Space group Pm-3m (No. 221)
Symmetry-distinct sites (fractional):
Tl  0.000  0.000  0.500 [3 per cell]
Zn  0.000  0.000  0.000 [1 per cell]
Si  0.500  0.500  0.500 [1 per cell]

Properties
* E_form (uncorrected): 62.1 kJ/mol of atoms
* density of states at the Fermi level: 1.13 states/eV/atom
* offset from the most stable computed form: 147.3 meV per atom
* total moment: 0.000 μB per atom

***

[3]
This record from Alexandria via LeMat-Bulk describes a relaxed structure of Tl12Cd3Sb5. The functional is PBE-GGA.

Cell: 17.951 17.951 17.951 Å, 90.00 90.00 90.00°
Space group Ia-3d (No. 230)
Symmetry-distinct sites (fractional):
Tl  0.024  0.084  0.649 [96 per cell]
Cd  0.000  0.250  0.125 [24 per cell]
Sb  0.000  0.000  0.000 [16 per cell]
Sb  0.000  0.250  0.375 [24 per cell]

Properties
* E_form (uncorrected): 14.4 kJ/mol of atoms
* density of states at the Fermi level: 0.43 states/eV/atom
* total moment: 0.000 μB per atom